# TbPmZnGe (PBE, optimized geometry)
data_TbPmZnGe
_cell_length_a 7.210
_cell_length_b 7.210
_cell_length_c 7.210
_cell_angle_alpha 90.00
_cell_angle_beta 90.00
_cell_angle_gamma 90.00
_space_group_name_H-M_alt 'F -4 3 m'
_space_group_IT_number 216
_space_group_name_Hall 'F -4 2 3'
loop_
_atom_site_label
_atom_site_type_symbol
_atom_site_fract_x
_atom_site_fract_y
_atom_site_fract_z
_atom_site_occupancy
Tb1 Tb 0.000 0.000 0.000 1
Pm1 Pm 0.000 0.000 0.500 1
Zn1 Zn 0.250 0.250 0.750 1
Ge1 Ge 0.250 0.250 0.250 1
# - Total magnetic moment: 0.0 Bohr magnetons per cell
# - ΔE to the lowest computed polymorph: 0.074 eV/atom

# Y2ErTm8 (PBE, optimized geometry)
data_Y2ErTm8
_cell_length_a 17.170
_cell_length_b 5.367
_cell_length_c 8.258
_cell_angle_alpha 90.00
_cell_angle_beta 116.60
_cell_angle_gamma 90.00
_space_group_name_H-M_alt 'C 1 2/m 1'
_space_group_IT_number 12
loop_
_space_group_symop_operation_xyz
'x,y,z'
'-x,-y,-z'
'-x,y,-z'
'x,-y,z'
'x+1/2,y+1/2,z'
'-x+1/2,-y+1/2,-z'
'-x+1/2,y+1/2,-z'
'x+1/2,-y+1/2,z'
loop_
_atom_site_label
_atom_site_type_symbol
_atom_site_fract_x
_atom_site_fract_y
_atom_site_fract_z
_atom_site_occupancy
Y1 Y 0.204 0.000 0.158 1
Er1 Er 0.000 0.500 0.500 1
Tm1 Tm 0.017 0.000 0.222 1
Tm2 Tm 0.116 0.500 0.939 1
Tm3 Tm 0.157 0.000 0.692 1
Tm4 Tm 0.164 0.500 0.391 1
# - Total magnetic moment: 0.0 Bohr magnetons per cell
# - ΔE to the lowest computed polymorph: 0.000 eV/atom

no.,V (Å³/cell)
1,374.83
2,680.36